Entry 1:
Density functional theory data (PBE-GGA) for crystalline Co2TeSe at its relaxed geometry.

Lattice parameters (Å, degrees): 6.586 6.586 6.586 32.76 32.76 32.76
Sites, in units of the cell vectors:
Co  0.977  0.977  0.977
Co  0.265  0.265  0.265
Se  0.540  0.540  0.540
Te  0.717  0.717  0.717

Summary:
As for the density: 7240 kg/m³. As for the symmetry: R3m (160). Its magnetization is 0.306 μB per atom. The energy above the most stable polymorph in this dataset is 68 meV/atom. Its energy is -20.77 eV for the cell shown. As for the formation energy without anion corrections: 0.1 eV/f.u. The volume is 18.60 Å³/atom. The value obtained for the density of states at the Fermi level is 3.28 states/eV/f.u.

Entry 2:
Density functional theory data (PBE-GGA) for crystalline Ta5Mo2H12 at its relaxed geometry.

Lattice parameters (Å, degrees): 5.357 5.653 6.158 100.43 90.00 118.28
Sites, in units of the cell vectors:
Ta  0.310  0.619  0.627
Ta  0.277  0.555  0.175
Ta  0.000  0.000  0.500
Ta  0.723  0.445  0.825
Ta  0.690  0.381  0.373
Mo  0.757  0.000  0.000
Mo  0.243  0.000  0.000
H  0.936  0.872  0.173
H  0.119  0.623  0.902
H  0.504  0.623  0.902
H  0.095  0.691  0.410
H  0.596  0.691  0.410
H  0.509  0.018  0.783
H  0.491  0.982  0.217
H  0.905  0.309  0.590
H  0.404  0.309  0.590
H  0.881  0.377  0.098
H  0.496  0.377  0.098
H  0.064  0.128  0.827

Summary:
As for the density: 11457 kg/m³. As for the symmetry: C2/m (12). Its magnetization is 0.000 μB per atom. Its energy is -120.63 eV for the cell shown. The volume is 8.46 Å³/atom. The value obtained for the density of states at the Fermi level is 4.17 states/eV/f.u.

Entry 3:
Density functional theory data (PBE-GGA) for crystalline MoWSe3S at its relaxed geometry.

Lattice parameters (Å, degrees): 3.288 3.288 29.704 90.00 90.00 120.00
Sites, in units of the cell vectors:
Mo  0.000  0.000  0.001
Mo  0.000  0.000  0.499
W  0.333  0.667  0.252
W  0.333  0.667  0.751
Se  0.000  0.000  0.808
Se  0.333  0.667  0.944
Se  0.333  0.667  0.443
Se  0.333  0.667  0.057
Se  0.333  0.667  0.556
Se  0.000  0.000  0.694
S  0.000  0.000  0.304
S  0.000  0.000  0.200

Summary:
As for the density: 6553 kg/m³. As for the symmetry: P3m1 (156). Its magnetization is 0.000 μB per atom. The energy above the most stable polymorph in this dataset is 0 meV/atom. Its energy is -84.88 eV for the cell shown. As for the formation energy without anion corrections: -4.1 eV/f.u. The volume is 23.18 Å³/atom.

Entry 4:
Density functional theory data (PBE-GGA) for crystalline AlAs at its relaxed geometry.

Lattice parameters (Å, degrees): 4.733 4.733 4.733 60.00 60.00 60.00
Sites, in units of the cell vectors:
As  0.500  0.500  0.500
As  0.750  0.750  0.750
Al  0.000  0.000  0.000
Al  0.250  0.250  0.250

Summary:
As for the density: 4515 kg/m³. As for the symmetry: Fd-3m (227). The calculation puts the energy of formation at 261.7 meV per atom. Its magnetization is 0.000 μB per atom. Its energy is -15.74 eV for the cell shown. The volume is 18.74 Å³/atom. The value obtained for the density of states at the Fermi level is 0.90 states/eV/f.u.